Record 1
YZn2Cr after structural relaxation, computed with PBE.

Summary:
- energy relative to the elements (meV/atom) = 11
- M_tot (μB per formula unit) = 3.168
- total energy (eV per atom) = -4.648

Cell lengths 3.327, 3.346, 6.686 Å; angles 90.00, 90.00, 90.00 degrees
Sites, in units of the cell vectors:
Y (0.000, 0.000, 0.000)
Zn (0.500, 0.500, 0.299)
Zn (0.500, 0.500, 0.701)
Cr (0.000, 0.000, 0.500)

=====

Record 2
CeCoHg after structural relaxation, computed with PBE.

Summary:
- energy relative to the elements (meV/atom) = -68
- M_tot (μB per formula unit) = 0.409
- total energy (eV per atom) = -4.515

Cell lengths 6.460, 6.460, 6.460 Å; angles 90.00, 90.00, 90.00 degrees
Sites, in units of the cell vectors:
Ce (0.000, 0.000, 0.000)
Ce (0.000, 0.500, 0.500)
Ce (0.500, 0.000, 0.500)
Ce (0.500, 0.500, 0.000)
Co (0.250, 0.250, 0.250)
Co (0.250, 0.750, 0.750)
Co (0.750, 0.250, 0.750)
Co (0.750, 0.750, 0.250)
Hg (0.000, 0.000, 0.500)
Hg (0.000, 0.500, 0.000)
Hg (0.500, 0.000, 0.000)
Hg (0.500, 0.500, 0.500)

=====

Record 3
SrMg2Pd after structural relaxation, computed with PBE.

Summary:
- energy relative to the elements (meV/atom) = -51
- M_tot (μB per formula unit) = 0.000
- total energy (eV per atom) = -2.567

Cell lengths 5.438, 5.438, 17.539 Å; angles 90.00, 90.00, 90.00 degrees
Sites, in units of the cell vectors:
Sr (0.000, 0.000, 0.000)
Sr (0.000, 0.500, 0.250)
Sr (0.500, 0.000, 0.750)
Sr (0.500, 0.500, 0.500)
Mg (0.006, 0.250, 0.625)
Mg (0.250, 0.506, 0.875)
Mg (0.250, 0.994, 0.375)
Mg (0.494, 0.250, 0.125)
Mg (0.506, 0.750, 0.125)
Mg (0.750, 0.006, 0.375)
Mg (0.750, 0.494, 0.875)
Mg (0.994, 0.750, 0.625)
Pd (0.000, 0.000, 0.500)
Pd (0.000, 0.500, 0.750)
Pd (0.500, 0.000, 0.250)
Pd (0.500, 0.500, 0.000)

=====

Record 4
Mn2RuSe after structural relaxation, computed with PBE.

Summary:
- M_tot (μB per formula unit) = 7.150
- formation energy without anion corrections (eV/atom) = 0.156
- total energy (eV per atom) = -7.619

Cell lengths 3.199, 3.199, 5.738 Å; angles 90.00, 90.00, 90.00 degrees
Sites, in units of the cell vectors:
Mn (0.000, 0.000, 0.249)
Mn (0.000, 0.000, 0.751)
Ru (0.500, 0.500, 0.000)
Se (0.500, 0.500, 0.500)

=====

Record 5
Rb2SBr5 after structural relaxation, computed with PBE.

Summary:
- M_tot (μB per formula unit) = 1.002
- formation energy without anion corrections (eV/atom) = -0.802
- total energy (eV per atom) = -2.605

Cell lengths 7.754, 7.754, 10.106 Å; angles 90.00, 90.00, 90.00 degrees
Sites, in units of the cell vectors:
Rb (0.000, 0.500, 0.000)
Rb (0.000, 0.500, 0.500)
Rb (0.500, 0.000, 0.000)
Rb (0.500, 0.000, 0.500)
S (0.000, 0.000, 0.242)
S (0.500, 0.500, 0.742)
Br (0.000, 0.000, 0.965)
Br (0.229, 0.229, 0.255)
Br (0.229, 0.771, 0.255)
Br (0.271, 0.271, 0.755)
Br (0.271, 0.729, 0.755)
Br (0.500, 0.500, 0.465)
Br (0.729, 0.271, 0.755)
Br (0.729, 0.729, 0.755)
Br (0.771, 0.229, 0.255)
Br (0.771, 0.771, 0.255)

=====

Record 6
MgMnCoIr after structural relaxation, computed with PBE.

Summary:
- energy relative to the elements (meV/atom) = -52
- M_tot (μB per formula unit) = 3.178
- total energy (eV per atom) = -6.735

Cell lengths 5.983, 5.983, 5.983 Å; angles 90.00, 90.00, 90.00 degrees
Sites, in units of the cell vectors:
Mg (0.000, 0.000, 0.000)
Mg (0.000, 0.500, 0.500)
Mg (0.500, 0.000, 0.500)
Mg (0.500, 0.500, 0.000)
Mn (0.000, 0.000, 0.500)
Mn (0.000, 0.500, 0.000)
Mn (0.500, 0.000, 0.000)
Mn (0.500, 0.500, 0.500)
Co (0.250, 0.250, 0.250)
Co (0.250, 0.750, 0.750)
Co (0.750, 0.250, 0.750)
Co (0.750, 0.750, 0.250)
Ir (0.250, 0.250, 0.750)
Ir (0.250, 0.750, 0.250)
Ir (0.750, 0.250, 0.250)
Ir (0.750, 0.750, 0.750)

=====

Record 7
CeNpAs after structural relaxation, computed with PBE.

Summary:
- energy relative to the elements (meV/atom) = -503
- M_tot (μB per formula unit) = 5.621
- total energy (eV per atom) = -8.344

Cell lengths 3.918, 3.918, 9.077 Å; angles 90.00, 90.00, 90.00 degrees
Sites, in units of the cell vectors:
Ce (0.000, 0.000, 0.000)
Ce (0.500, 0.500, 0.500)
Np (0.000, 0.000, 0.705)
Np (0.500, 0.500, 0.205)
As (0.000, 0.000, 0.350)
As (0.500, 0.500, 0.850)

=====

Record 8
YTaTl after structural relaxation, computed with PBE.

Summary:
- energy relative to the elements (meV/atom) = 259
- M_tot (μB per formula unit) = 0.000
- total energy (eV per atom) = -6.635

Cell lengths 4.203, 4.650, 14.451 Å; angles 90.00, 90.00, 90.00 degrees
Sites, in units of the cell vectors:
Y (0.000, 0.000, 0.000)
Y (0.000, 0.500, 0.500)
Y (0.500, 0.000, 0.500)
Y (0.500, 0.500, 0.000)
Ta (0.000, 0.000, 0.339)
Ta (0.000, 0.500, 0.839)
Ta (0.500, 0.000, 0.839)
Ta (0.500, 0.500, 0.339)
Tl (0.000, 0.000, 0.681)
Tl (0.000, 0.500, 0.181)
Tl (0.500, 0.000, 0.181)
Tl (0.500, 0.500, 0.681)

=====

Record 9
CaSbW2Au after structural relaxation, computed with PBE.

Summary:
- M_tot (μB per formula unit) = 0.000
- formation energy without anion corrections (eV/atom) = 0.085
- total energy (eV per atom) = -6.976

Cell lengths 14.144, 3.546, 4.317 Å; angles 90.00, 107.68, 90.00 degrees
Sites, in units of the cell vectors:
Ca (0.000, 0.000, 0.000)
Ca (0.500, 0.500, 0.000)
Sb (0.379, 0.000, 0.380)
Sb (0.879, 0.500, 0.380)
W (0.225, 0.500, 0.224)
W (0.239, 0.000, 0.741)
W (0.725, 0.000, 0.224)
W (0.739, 0.500, 0.741)
Au (0.083, 0.500, 0.582)
Au (0.583, 0.000, 0.582)

=====

Record 10
CaNi2Te after structural relaxation, computed with PBE.

Summary:
- M_tot (μB per formula unit) = 0.001
- formation energy without anion corrections (eV/atom) = 0.056
- total energy (eV per atom) = -4.120

Cell lengths 6.638, 6.638, 6.638 Å; angles 90.00, 90.00, 90.00 degrees
Sites, in units of the cell vectors:
Ca (0.000, 0.000, 0.000)
Ca (0.000, 0.500, 0.500)
Ca (0.500, 0.000, 0.500)
Ca (0.500, 0.500, 0.000)
Ni (0.000, 0.000, 0.500)
Ni (0.000, 0.500, 0.000)
Ni (0.250, 0.250, 0.250)
Ni (0.250, 0.750, 0.750)
Ni (0.500, 0.000, 0.000)
Ni (0.500, 0.500, 0.500)
Ni (0.750, 0.250, 0.750)
Ni (0.750, 0.750, 0.250)
Te (0.250, 0.250, 0.750)
Te (0.250, 0.750, 0.250)
Te (0.750, 0.250, 0.250)
Te (0.750, 0.750, 0.750)

=====

Record 11
HfAu after structural relaxation, computed with PBE.

Summary:
- energy relative to the elements (meV/atom) = -542
- M_tot (μB per formula unit) = 0.000
- total energy (eV per atom) = -7.157

Cell lengths 3.510, 3.510, 6.370 Å; angles 90.00, 90.00, 90.00 degrees
Sites, in units of the cell vectors:
Hf (0.250, 0.250, 0.147)
Hf (0.750, 0.750, 0.853)
Au (0.250, 0.250, 0.629)
Au (0.750, 0.750, 0.371)

=====

Record 12
ThScMoRu after structural relaxation, computed with PBE.

Summary:
- energy relative to the elements (meV/atom) = -132
- M_tot (μB per formula unit) = 0.000
- total energy (eV per atom) = -8.597

Cell lengths 6.794, 6.794, 6.794 Å; angles 90.00, 90.00, 90.00 degrees
Sites, in units of the cell vectors:
Th (0.000, 0.000, 0.000)
Th (0.000, 0.500, 0.500)
Th (0.500, 0.000, 0.500)
Th (0.500, 0.500, 0.000)
Sc (0.000, 0.000, 0.500)
Sc (0.000, 0.500, 0.000)
Sc (0.500, 0.000, 0.000)
Sc (0.500, 0.500, 0.500)
Mo (0.250, 0.250, 0.250)
Mo (0.250, 0.750, 0.750)
Mo (0.750, 0.250, 0.750)
Mo (0.750, 0.750, 0.250)
Ru (0.250, 0.250, 0.750)
Ru (0.250, 0.750, 0.250)
Ru (0.750, 0.250, 0.250)
Ru (0.750, 0.750, 0.750)